[1]
The following is a DFT calculation (GGA-PBE) of an optimized crystal structure of Pm2NdHfN4.

The structure in extended XYZ format:
```
8
Lattice="-1.969 -1.470 2.480 4.439 0.924 4.073 -3.683 4.837 -0.058" Properties=species:S:1:pos:R:3 pbc="T T T"
Pm -2.826 1.684 1.211
Nd 1.235 -0.273 3.276
N -0.822 0.561 2.137
Hf 0.000 0.000 0.000
N -0.391 3.730 4.357
N 2.553 1.844 3.120
Pm 0.378 2.880 2.007
N -1.797 3.917 0.894
```

Summary:
The value obtained for the raw formation energy is -1.492 eV per atom. As for the crystal system: monoclinic. The density of states at the Fermi level is 1.224 states/eV per cell. The space-group type is P2/m, No. 10. The energy comes out at -8.68 eV per atom.

=====

[2]
The following is a DFT calculation (GGA-PBE) of an optimized crystal structure of Pr2NdHfN4.

The structure in extended XYZ format:
```
8
Lattice="-2.724 -1.959 -1.068 3.438 -5.068 0.527 -2.858 1.053 5.358" Properties=species:S:1:pos:R:3 pbc="T T T"
Hf 0.000 0.000 0.000
N -0.915 -4.104 4.058
Nd 0.357 -3.513 -0.270
N 1.990 -3.654 1.627
Pr -2.791 -0.453 2.145
N -1.229 -1.870 0.760
N -1.410 -0.361 4.259
Pr 0.290 -2.007 2.943
```

Summary:
The value obtained for the raw formation energy is -1.411 eV per atom. As for the crystal system: monoclinic. The density of states at the Fermi level is 1.275 states/eV per cell. The space-group type is P2/m, No. 10. The energy comes out at -8.61 eV per atom.

=====

[3]
The following is a DFT calculation (GGA-PBE) of an optimized crystal structure of PrNd2HfN4.

The structure in extended XYZ format:
```
8
Lattice="3.516 0.000 0.000 0.000 6.146 0.131 0.000 -2.125 5.751" Properties=species:S:1:pos:R:3 pbc="T T T"
Hf 0.000 0.000 0.000
N 0.000 -0.227 4.446
Pr 1.758 3.073 0.066
Nd 0.000 2.010 2.941
N 1.758 0.887 1.312
N 0.000 4.248 1.436
Nd 1.758 -1.063 2.875
N 1.758 3.134 4.570
```

Summary:
The value obtained for the raw formation energy is -1.422 eV per atom. As for the crystal system: monoclinic. The density of states at the Fermi level is 1.260 states/eV per cell. The space-group type is P2/m, No. 10. The energy comes out at -8.62 eV per atom.

=====

[4]
The following is a DFT calculation (GGA-PBE) of an optimized crystal structure of NdHf2PtN4.

The structure in extended XYZ format:
```
16
Lattice="3.284 0.000 0.000 -1.642 5.637 0.000 0.000 0.000 11.566" Properties=species:S:1:pos:R:3 pbc="T T T"
N 1.642 2.605 6.975
Pt 0.000 1.642 2.892
N 1.642 0.396 2.892
N 0.000 0.000 0.000
Hf 0.000 4.159 10.987
N 0.000 0.000 5.783
Hf 1.642 1.478 5.203
Pt 1.642 3.995 8.675
N 0.000 3.032 4.591
Nd 1.642 4.298 2.892
N 0.000 5.241 8.675
N 1.642 2.605 10.374
Hf 1.642 1.478 0.580
Nd 0.000 1.339 8.675
N 0.000 3.032 1.192
Hf 0.000 4.159 6.363
```

Summary:
The value obtained for the raw formation energy is -1.045 eV per atom. As for the crystal system: orthorhombic. The density of states at the Fermi level is 2.251 states/eV per cell. The space-group type is Cmcm, No. 63. The energy comes out at -9.05 eV per atom.

=====

[5]
The following is a DFT calculation (GGA-PBE) of an optimized crystal structure of Nd2HfS2N2.

The structure in extended XYZ format:
```
7
Lattice="4.220 0.000 0.000 0.000 4.220 0.000 -2.110 -2.110 7.249" Properties=species:S:1:pos:R:3 pbc="T T T"
Nd 0.000 0.000 5.536
Hf 0.000 0.000 0.000
N 0.000 2.110 0.000
Nd 2.110 2.110 1.713
S 2.110 2.110 4.653
N 2.110 0.000 0.000
S 0.000 0.000 2.595
```

Summary:
The value obtained for the raw formation energy is -1.794 eV per atom. As for the crystal system: tetragonal. The space-group type is I4/mmm, No. 139. The energy comes out at -8.14 eV per atom.

=====

[6]
The following is a DFT calculation (GGA-PBE) of an optimized crystal structure of NdSm2HfN4.

The structure in extended XYZ format:
```
8
Lattice="-3.192 -1.365 0.239 0.545 -0.216 6.047 -2.396 5.326 -1.584" Properties=species:S:1:pos:R:3 pbc="T T T"
Sm -2.794 1.981 -0.672
N -1.704 4.018 0.183
N -2.018 0.479 1.116
Hf 0.000 0.000 0.000
N -3.025 3.266 3.586
Sm -0.926 2.555 2.232
N -0.147 1.093 4.281
Nd -1.324 -0.790 3.143
```

Summary:
The value obtained for the raw formation energy is -1.515 eV per atom. As for the crystal system: monoclinic. The density of states at the Fermi level is 1.213 states/eV per cell. The space-group type is P2/m, No. 10. The energy comes out at -8.70 eV per atom.